(1)
The following is a DFT calculation (PBE) of a relaxed structure of Mg5PdPb.

Results
offset from the most stable computed form	50	meV/atom
space-group type	P4/mmm

POSCAR file:
```
Mg5PdPb
1.0
4.504 0.000 0.000
0.000 4.504 0.000
0.000 0.000 7.861
Mg Pd Pb
5 1 1
Direct
0.500 0.000 0.693 Mg
0.000 0.500 0.693 Mg
0.500 0.500 0.000 Mg
0.000 0.500 0.307 Mg
0.500 0.000 0.307 Mg
0.000 0.000 0.500 Pd
0.000 0.000 0.000 Pb
```

=====

(2)
The following is a DFT calculation (PBE) of a relaxed structure of Mg2Pd5Pb2.

Results
space-group type	Ima2

POSCAR file:
```
Mg2Pd5Pb2
1.0
7.820 0.000 0.000
0.000 5.215 0.000
-3.910 -2.607 8.152
Mg Pd Pb
4 10 4
Direct
0.267 0.436 0.219 Mg
0.733 0.217 0.781 Mg
0.452 0.936 0.219 Mg
0.548 0.717 0.781 Mg
0.273 0.757 0.872 Pd
0.727 0.885 0.128 Pd
0.099 0.257 0.872 Pd
0.901 0.385 0.128 Pd
0.149 0.049 0.327 Pd
0.851 0.723 0.673 Pd
0.678 0.549 0.327 Pd
0.322 0.223 0.673 Pd
0.476 0.833 0.500 Pd
0.524 0.333 0.500 Pd
0.000 0.811 0.000 Pb
0.500 0.311 0.000 Pb
0.128 0.626 0.500 Pb
0.872 0.126 0.500 Pb
```

=====

(3)
The following is a DFT calculation (PBE) of a relaxed structure of MgPd4Pb.

Results
offset from the most stable computed form	0	meV/atom
space-group type	C2/m

POSCAR file:
```
MgPd4Pb
1.0
-1.889 2.461 -2.346
-4.978 -0.085 0.695
1.825 6.063 1.665
Mg Pd Pb
1 4 1
Direct
0.500 0.500 0.500 Mg
0.841 0.496 0.821 Pd
0.328 0.005 0.339 Pd
0.159 0.504 0.179 Pd
0.672 0.995 0.661 Pd
0.000 0.000 0.000 Pb
```

=====

no.,total DFT energy (no corrections) (eV per cell)
1,-18.44
2,-79.52
3,-28.38